1.
# Nd3Er8, relaxed, DFT GGA-PBE
data_Nd3Er8
_chemical_formula_sum 'Nd9 Er24'
_symmetry_space_group_name_H-M 'R -3'
_symmetry_Int_Tables_number 148
_symmetry_space_group_name_Hall '-R 3'
_cell_length_a 10.2689
_cell_length_b 10.2689
_cell_length_c 12.1541
_cell_angle_alpha 90.00
_cell_angle_beta 90.00
_cell_angle_gamma 120.00
loop_
_atom_site_label
_atom_site_type_symbol
_atom_site_fract_x
_atom_site_fract_y
_atom_site_fract_z
_atom_site_occupancy
Nd1 Nd 0.0000 0.5000 0.0000 1
Er1 Er 0.0000 0.0000 0.3486 1
Er2 Er 0.0022 0.1937 0.8886 1
# * energy above the most stable polymorph in this dataset: 449 meV per atom
# * volume: 33.63 Å³/atom
# * ΔE_f: 0.573 eV per atom
# * magnetic moment: 0.0 μB per formula unit



2.
# NdErNi2, relaxed, DFT GGA-PBE
data_NdErNi2
_chemical_formula_sum 'Nd3 Er3 Ni6'
_symmetry_space_group_name_H-M 'R -3 m'
_symmetry_Int_Tables_number 166
_symmetry_space_group_name_Hall '-R 3 2"'
_cell_length_a 3.9998
_cell_length_b 3.9998
_cell_length_c 19.0278
_cell_angle_alpha 90.00
_cell_angle_beta 90.00
_cell_angle_gamma 120.00
loop_
_atom_site_label
_atom_site_type_symbol
_atom_site_fract_x
_atom_site_fract_y
_atom_site_fract_z
_atom_site_occupancy
Nd1 Nd 0.0000 0.0000 0.0000 1
Er1 Er 0.0000 0.0000 0.5000 1
Ni1 Ni 0.0000 0.0000 0.2441 1
# * energy above the most stable polymorph in this dataset: 200 meV per atom
# * volume: 21.97 Å³/atom
# * ΔE_f: -0.195 eV per atom
# * magnetic moment: 0.0 μB per formula unit



3.
# NdEr4Ni4, relaxed, DFT GGA-PBE
data_NdEr4Ni4
_chemical_formula_sum 'Nd2 Er8 Ni8'
_symmetry_space_group_name_H-M 'P 42/n'
_symmetry_Int_Tables_number 86
_cell_length_a 8.621
_cell_length_b 8.621
_cell_length_c 5.520
_cell_angle_alpha 90.00
_cell_angle_beta 90.00
_cell_angle_gamma 90.00
loop_
_symmetry_equiv_pos_as_xyz
'x,y,z'
'-x,-y,-z'
'-y,x+1/2,z+1/2'
'y,-x+1/2,-z+1/2'
'-x+1/2,-y+1/2,z'
'x+1/2,y+1/2,-z'
'y+1/2,-x,z+1/2'
'-y+1/2,x,-z+1/2'
loop_
_atom_site_label
_atom_site_type_symbol
_atom_site_fract_x
_atom_site_fract_y
_atom_site_fract_z
_atom_site_occupancy
Nd1 Nd 0.250 0.250 0.250 1
Er1 Er 0.075 0.659 0.153 1
Ni1 Ni 0.033 0.612 0.642 1
# * volume: 22.79 Å³/atom
# * ΔE_f: -0.269 eV per atom
# * magnetic moment: 0.0 μB per formula unit



4.
# NdErNi2, relaxed, DFT GGA-PBE
data_NdErNi2
_chemical_formula_sum 'Nd1 Er1 Ni2'
_symmetry_space_group_name_H-M 'P 4/m m m'
_symmetry_Int_Tables_number 123
_symmetry_space_group_name_Hall '-P 4 2'
_cell_length_a 3.419
_cell_length_b 3.419
_cell_length_c 6.830
_cell_angle_alpha 90.00
_cell_angle_beta 90.00
_cell_angle_gamma 90.00
loop_
_atom_site_label
_atom_site_type_symbol
_atom_site_fract_x
_atom_site_fract_y
_atom_site_fract_z
_atom_site_occupancy
Nd1 Nd 0.000 0.000 0.000 1
Er1 Er 0.000 0.000 0.500 1
Ni1 Ni 0.500 0.500 0.272 1
# * energy above the most stable polymorph in this dataset: 76 meV per atom
# * volume: 19.96 Å³/atom
# * ΔE_f: -0.318 eV per atom
# * magnetic moment: 0.0 μB per formula unit



5.
# NdEr12Ni6, relaxed, DFT GGA-PBE
data_NdEr12Ni6
_chemical_formula_sum 'Nd2 Er24 Ni12'
_symmetry_space_group_name_H-M 'I m -3'
_symmetry_Int_Tables_number 204
_symmetry_space_group_name_Hall '-I 2 2 3'
_cell_length_a 9.763
_cell_length_b 9.763
_cell_length_c 9.763
_cell_angle_alpha 90.00
_cell_angle_beta 90.00
_cell_angle_gamma 90.00
loop_
_atom_site_label
_atom_site_type_symbol
_atom_site_fract_x
_atom_site_fract_y
_atom_site_fract_z
_atom_site_occupancy
Nd1 Nd 0.000 0.000 0.000 1
Er1 Er 0.000 0.311 0.184 1
Ni1 Ni 0.000 0.124 0.500 1
# * volume: 24.49 Å³/atom
# * ΔE_f: -0.257 eV per atom
# * magnetic moment: 0.0 μB per formula unit



6.
# NdEr5Ni2, relaxed, DFT GGA-PBE
data_NdEr5Ni2
_chemical_formula_sum 'Nd4 Er20 Ni8'
_symmetry_space_group_name_H-M 'C m c m'
_symmetry_Int_Tables_number 63
_symmetry_space_group_name_Hall '-C 2c 2'
_cell_length_a 3.619
_cell_length_b 12.911
_cell_length_c 18.172
_cell_angle_alpha 90.00
_cell_angle_beta 90.00
_cell_angle_gamma 90.00
loop_
_atom_site_label
_atom_site_type_symbol
_atom_site_fract_x
_atom_site_fract_y
_atom_site_fract_z
_atom_site_occupancy
Nd1 Nd 0.000 0.173 0.250 1
Er1 Er 0.000 0.098 0.750 1
Er2 Er 0.000 0.168 0.055 1
Er3 Er 0.000 0.436 0.092 1
Ni1 Ni 0.000 0.220 0.632 1
# * volume: 26.53 Å³/atom
# * ΔE_f: -0.156 eV per atom
# * magnetic moment: 0.0 μB per formula unit



7.
# Nd2ErNi9, relaxed, DFT GGA-PBE
data_Nd2ErNi9
_chemical_formula_sum 'Nd6 Er3 Ni27'
_symmetry_space_group_name_H-M 'R -3 m'
_symmetry_Int_Tables_number 166
_symmetry_space_group_name_Hall '-R 3 2"'
_cell_length_a 4.9878
_cell_length_b 4.9878
_cell_length_c 24.8219
_cell_angle_alpha 90.00
_cell_angle_beta 90.00
_cell_angle_gamma 120.00
loop_
_atom_site_label
_atom_site_type_symbol
_atom_site_fract_x
_atom_site_fract_y
_atom_site_fract_z
_atom_site_occupancy
Nd1 Nd 0.0000 0.0000 0.1377 1
Er1 Er 0.0000 0.0000 0.0000 1
Ni1 Ni 0.0000 0.0000 0.3328 1
Ni2 Ni 0.0000 0.0000 0.5000 1
Ni3 Ni 0.0008 0.5004 0.0796 1
# * volume: 14.86 Å³/atom
# * ΔE_f: -0.341 eV per atom
# * magnetic moment: 1.1 μB per formula unit



8.
# Nd3ErNi8, relaxed, DFT GGA-PBE
data_Nd3ErNi8
_chemical_formula_sum 'Nd9 Er3 Ni24'
_symmetry_space_group_name_H-M 'R 3 m'
_symmetry_Int_Tables_number 160
_symmetry_space_group_name_Hall 'R 3 -2"'
_cell_length_a 5.1360
_cell_length_b 5.1360
_cell_length_c 25.2340
_cell_angle_alpha 90.00
_cell_angle_beta 90.00
_cell_angle_gamma 120.00
loop_
_atom_site_label
_atom_site_type_symbol
_atom_site_fract_x
_atom_site_fract_y
_atom_site_fract_z
_atom_site_occupancy
Nd1 Nd 0.0000 0.0000 0.0000 1
Nd2 Nd 0.0000 0.0000 0.1253 1
Nd3 Nd 0.0000 0.0000 0.6240 1
Er1 Er 0.0000 0.0000 0.4995 1
Ni1 Ni 0.0000 0.0000 0.3122 1
Ni2 Ni 0.0000 0.0000 0.8127 1
Ni3 Ni 0.9999 0.4999 0.5608 1
Ni4 Ni 0.0029 0.5014 0.0635 1
# * volume: 16.01 Å³/atom
# * ΔE_f: -0.351 eV per atom
# * magnetic moment: 0.0 μB per formula unit